(1)
# K3Ta5 PBE relaxed
# Mass density   9.05 Mg/m³
# Polymorph energy (0 for the lowest one)   0.0 meV/atom
# Calculated volume   23.45 Å³ per atom
data_K3Ta5
_chemical_formula_sum 'K6 Ta10'
_cell_length_a 10.743
_cell_length_b 12.120
_cell_length_c 2.882
_cell_angle_alpha 90.00
_cell_angle_beta 90.00
_cell_angle_gamma 90.00
_space_group_name_H-M_alt 'C m m m'
_space_group_IT_number 65
_space_group_name_Hall '-C 2 2'
loop_
_atom_site_label
_atom_site_type_symbol
_atom_site_fract_x
_atom_site_fract_y
_atom_site_fract_z
K1 K 0.000 0.000 0.000
K2 K 0.239 0.000 0.500
Ta1 Ta 0.000 0.293 0.500
Ta2 Ta 0.000 0.500 0.000
Ta3 Ta 0.250 0.250 0.000

(2)
# Ho3Ga4Cu4 PBE relaxed
# Mass density   8.59 Mg/m³
# Polymorph energy (0 for the lowest one)   0.0 meV/atom
# Calculated volume   18.06 Å³ per atom
data_Ho3Ga4Cu4
_chemical_formula_sum 'Ho6 Ga8 Cu8'
_cell_length_a 4.229
_cell_length_b 6.780
_cell_length_c 13.862
_cell_angle_alpha 90.00
_cell_angle_beta 90.00
_cell_angle_gamma 90.00
_space_group_name_H-M_alt 'I m m m'
_space_group_IT_number 71
_space_group_name_Hall '-I 2 2'
loop_
_atom_site_label
_atom_site_type_symbol
_atom_site_fract_x
_atom_site_fract_y
_atom_site_fract_z
Ho1 Ho 0.000 0.000 0.000
Ho2 Ho 0.000 0.500 0.130
Ga1 Ga 0.000 0.000 0.219
Ga2 Ga 0.000 0.188 0.500
Cu1 Cu 0.000 0.313 0.329

(3)
# Hf2TiCoAs PBE relaxed
# Electronic total energy   -35.68 eV/cell
# Mass density   8.76 Mg/m³
# Calculated volume   20.42 Å³ per atom
data_Hf2TiCoAs
_chemical_formula_sum 'Hf2 Ti1 Co1 As1'
_cell_length_a 5.018
_cell_length_b 5.018
_cell_length_c 4.054
_cell_angle_alpha 90.00
_cell_angle_beta 90.00
_cell_angle_gamma 90.00
_space_group_name_H-M_alt 'P 4/m m m'
_space_group_IT_number 123
_space_group_name_Hall '-P 4 2'
loop_
_atom_site_label
_atom_site_type_symbol
_atom_site_fract_x
_atom_site_fract_y
_atom_site_fract_z
Hf1 Hf 0.000 0.500 0.000
Ti1 Ti 0.000 0.000 0.000
Co1 Co 0.000 0.000 0.500
As1 As 0.500 0.500 0.500